# 1
Compound: CoH12Br2O14
Source: Alexandria via LeMat-Bulk
Functional: meta-GGA SCAN
Structure: single point on PBEsol structure

Cell lengths 6.1193, 7.5958, 7.5958 Å; angles 120.00, 90.00, 90.00 degrees
Site moments in Bohr magnetons follow the coordinates.
Fractional positions:
O  0.8087  0.2529  0.1264  0.04
H  0.2136  0.6634  0.9381  0.00
H  0.2136  0.2747  0.3366  0.00
H  0.7864  0.3366  0.2747  0.00
O  0.1913  0.1264  0.8736  0.04
O  0.7716  0.0980  0.5490  0.00
H  0.7864  0.9381  0.6634  0.00
H  0.2136  0.6634  0.7253  0.00
O  0.2284  0.9020  0.4510  0.00
O  0.7716  0.4510  0.9020  0.00
Br  0.6759  0.3333  0.6667  0.00
O  0.8087  0.8736  0.1264  0.04
O  0.1913  0.1264  0.2529  0.04
H  0.2136  0.2747  0.9381  0.00
O  0.5906  0.6667  0.3333  0.00
H  0.2136  0.0619  0.7253  0.00
H  0.2136  0.0619  0.3366  0.00
Br  0.3241  0.6667  0.3333  0.00
H  0.7864  0.9381  0.2747  0.00
O  0.1913  0.7471  0.8736  0.04
H  0.7864  0.7253  0.0619  0.00
Co  0.0000  0.0000  0.0000  2.70
H  0.7864  0.7253  0.6634  0.00
H  0.7864  0.3366  0.0619  0.00
O  0.2284  0.5490  0.4510  0.00
O  0.8087  0.8736  0.7471  0.04
O  0.2284  0.5490  0.0980  0.00
O  0.4094  0.3333  0.6667  0.00
O  0.7716  0.4510  0.5490  0.00

Uncorrected energy: -7.002 eV per atom

# 2
Compound: CoH2SBr
Source: Alexandria via LeMat-Bulk
Functional: meta-GGA SCAN
Structure: single point on PBEsol structure

Cell lengths 3.6250, 3.6250, 4.3396 Å; angles 90.00, 90.00, 90.00 degrees
Site moments in Bohr magnetons follow the coordinates.
Fractional positions:
Co  0.0000  0.0000  0.0000  1.02
H  0.0000  0.5000  0.0000  -0.06
Br  0.5000  0.5000  0.5000  -0.04
S  0.0000  0.0000  0.5000  -0.02
H  0.5000  0.0000  0.0000  -0.06

Uncorrected energy: -10.125 eV per atom

# 3
Compound: Co2HgBr2
Source: Alexandria via LeMat-Bulk
Functional: meta-GGA SCAN
Structure: single point on PBEsol structure

Cell lengths 3.6230, 3.6230, 8.8820 Å; angles 101.77, 101.77, 90.00 degrees
Site moments in Bohr magnetons follow the coordinates.
Fractional positions:
Br  0.6567  0.6567  0.3134  0.13
Hg  0.0000  0.0000  0.0000  0.01
Co  0.2500  0.7500  0.5000  1.87
Co  0.7500  0.2500  0.5000  1.87
Br  0.3433  0.3433  0.6866  0.13

Formation energy (no corrections): 0.47 eV/f.u.